16
Lattice="5.274 0.000 0.000 2.601 4.628 0.000 2.624 -1.299 8.859" Properties=species:S:1:pos:R:3 comment="VOF2, optimized geometry, DFT GGA+U" m_tot_mub_per_atom=0.25 energy_ev_per_atom=-6.48 sg="No. 2" pbc="T T T"
V 0.000 0.000 0.000
V 2.612 1.664 4.429
V 5.025 0.253 6.647
V 5.474 3.076 2.211
O 3.822 -0.233 7.731
O 4.138 1.191 5.547
O 6.361 2.138 3.312
O 6.677 3.562 1.128
F 3.757 2.750 3.284
F 4.091 4.203 1.170
F 2.984 0.043 3.273
F 5.684 1.700 7.714
F 4.815 1.629 1.145
F 7.515 3.286 5.585
F 6.408 -0.874 7.689
F 6.742 0.579 5.575